Computed, not measured: a relaxed structure of MgIrPb2 at the PBE level of DFT.

CIF file:
```
data_MgIrPb2
_chemical_formula_sum 'Mg1 Ir1 Pb2'
_space_group_name_H-M_alt 'P 1 m 1'
_space_group_IT_number 6
_cell_length_a 3.212
_cell_length_b 3.928
_cell_length_c 7.792
_cell_angle_alpha 90.00
_cell_angle_beta 101.60
_cell_angle_gamma 90.00
loop_
_space_group_symop_operation_xyz
'x,y,z'
'x,-y,z'
loop_
_atom_site_label
_atom_site_type_symbol
_atom_site_fract_x
_atom_site_fract_y
_atom_site_fract_z
_atom_site_occupancy
Mg1 Mg 0.000 0.000 0.000 1
Ir1 Ir 0.445 0.500 0.887 1
Pb1 Pb 0.313 0.000 0.621 1
Pb2 Pb 0.629 0.500 0.270 1
```

## Properties
Its total magnetic moment is 0.0 μB per cell. The value obtained for the volume is 24.1 Å³/atom. As for the final energy: -4.420 eV/atom. The density of states at the Fermi level comes out at 0.4506 states/eV/atom.



Computed, not measured: a relaxed structure of CaLa2Pt at the PBE level of DFT.

CIF file:
```
data_CaLa2Pt
_chemical_formula_sum 'Ca3 La6 Pt3'
_space_group_name_H-M_alt 'R -3 m'
_space_group_IT_number 166
_space_group_name_Hall '-R 3 2"'
_cell_length_a 4.1665
_cell_length_b 4.1665
_cell_length_c 29.6313
_cell_angle_alpha 90.00
_cell_angle_beta 90.00
_cell_angle_gamma 120.00
loop_
_atom_site_label
_atom_site_type_symbol
_atom_site_fract_x
_atom_site_fract_y
_atom_site_fract_z
_atom_site_occupancy
Ca1 Ca 0.0000 0.0000 0.0000 1
La1 La 0.0000 0.0000 0.2229 1
Pt1 Pt 0.0000 0.0000 0.5000 1
```

## Properties
The energy above the lowest structure with this stoichiometry is 0.12 eV per formula unit. Its total magnetic moment is 0.0 μB per cell. The value obtained for the volume is 37.1 Å³/atom. As for the final energy: -5.029 eV/atom. The density of states at the Fermi level comes out at 1.3845 states/eV/atom.



Computed, not measured: a relaxed structure of Hf2MgN at the PBE level of DFT.

CIF file:
```
data_Hf2MgN
_chemical_formula_sum 'Hf6 Mg3 N3'
_space_group_name_H-M_alt 'R -3 m'
_space_group_IT_number 166
_space_group_name_Hall '-R 3 2"'
_cell_length_a 3.1709
_cell_length_b 3.1709
_cell_length_c 25.5865
_cell_angle_alpha 90.00
_cell_angle_beta 90.00
_cell_angle_gamma 120.00
loop_
_atom_site_label
_atom_site_type_symbol
_atom_site_fract_x
_atom_site_fract_y
_atom_site_fract_z
_atom_site_occupancy
Hf1 Hf 0.0000 0.0000 0.1170 1
Mg1 Mg 0.0000 0.0000 0.0000 1
N1 N 0.0000 0.0000 0.5000 1
```

## Properties
The energy above the lowest structure with this stoichiometry is 0.00 eV per formula unit. Its total magnetic moment is 0.0 μB per cell. Its energy relative to the elements, uncorrected is -0.586 eV/atom. The value obtained for the volume is 18.6 Å³/atom. As for the final energy: -8.042 eV/atom. The density of states at the Fermi level comes out at 0.7411 states/eV/atom.



Computed, not measured: a relaxed structure of Sm2ZnB2Rh5 at the PBE level of DFT.

CIF file:
```
data_Sm2ZnB2Rh5
_chemical_formula_sum 'Sm4 Zn2 B4 Rh10'
_space_group_name_H-M_alt 'P 4/m b m'
_space_group_IT_number 127
_space_group_name_Hall '-P 4 2ab'
_cell_length_a 9.617
_cell_length_b 9.617
_cell_length_c 3.213
_cell_angle_alpha 90.00
_cell_angle_beta 90.00
_cell_angle_gamma 90.00
loop_
_atom_site_label
_atom_site_type_symbol
_atom_site_fract_x
_atom_site_fract_y
_atom_site_fract_z
_atom_site_occupancy
Sm1 Sm 0.176 0.324 0.000 1
Zn1 Zn 0.000 0.000 0.000 1
B1 B 0.123 0.623 0.000 1
Rh1 Rh 0.000 0.500 0.500 1
Rh2 Rh 0.069 0.778 0.500 1
```

## Properties
Its total magnetic moment is 0.0 μB per cell. The value obtained for the volume is 14.9 Å³/atom. As for the final energy: -6.755 eV/atom. The density of states at the Fermi level comes out at 0.3423 states/eV/atom.



Computed, not measured: a relaxed structure of TiZn3Fe at the PBE level of DFT.

CIF file:
```
data_TiZn3Fe
_chemical_formula_sum 'Ti1 Zn3 Fe1'
_space_group_name_H-M_alt 'P m -3 m'
_space_group_IT_number 221
_space_group_name_Hall '-P 4 2 3'
_cell_length_a 4.440
_cell_length_b 4.440
_cell_length_c 4.440
_cell_angle_alpha 90.00
_cell_angle_beta 90.00
_cell_angle_gamma 90.00
loop_
_atom_site_label
_atom_site_type_symbol
_atom_site_fract_x
_atom_site_fract_y
_atom_site_fract_z
_atom_site_occupancy
Ti1 Ti 0.000 0.000 0.000 1
Zn1 Zn 0.000 0.500 0.500 1
Fe1 Fe 0.500 0.500 0.500 1
```

## Properties
The energy above the lowest structure with this stoichiometry is 0.00 eV per formula unit. Its total magnetic moment is 0.0 μB per cell. The value obtained for the volume is 17.5 Å³/atom. As for the final energy: -3.399 eV/atom. The density of states at the Fermi level comes out at 2.1647 states/eV/atom.



Computed, not measured: a relaxed structure of PmZr2Ir at the PBE level of DFT.

CIF file:
```
data_PmZr2Ir
_chemical_formula_sum 'Pm3 Zr6 Ir3'
_space_group_name_H-M_alt 'R 3 m'
_space_group_IT_number 160
_space_group_name_Hall 'R 3 -2"'
_cell_length_a 4.3903
_cell_length_b 4.3903
_cell_length_c 18.3819
_cell_angle_alpha 90.00
_cell_angle_beta 90.00
_cell_angle_gamma 120.00
loop_
_atom_site_label
_atom_site_type_symbol
_atom_site_fract_x
_atom_site_fract_y
_atom_site_fract_z
_atom_site_occupancy
Pm1 Pm 0.0000 0.0000 0.0000 1
Zr1 Zr 0.0000 0.0000 0.5594 1
Zr2 Zr 0.0000 0.0000 0.7880 1
Ir1 Ir 0.0000 0.0000 0.1807 1
```

## Properties
The energy above the lowest structure with this stoichiometry is 0.11 eV per formula unit. Its total magnetic moment is 0.0 μB per cell. The value obtained for the volume is 25.6 Å³/atom. As for the final energy: -7.956 eV/atom. The density of states at the Fermi level comes out at 0.5224 states/eV/atom.



Computed, not measured: a relaxed structure of YCu5Sn at the PBE level of DFT.

CIF file:
```
data_YCu5Sn
_chemical_formula_sum 'Y4 Cu20 Sn4'
_space_group_name_H-M_alt 'P n m a'
_space_group_IT_number 62
_cell_length_a 8.260
_cell_length_b 5.016
_cell_length_c 10.594
_cell_angle_alpha 90.00
_cell_angle_beta 90.00
_cell_angle_gamma 90.00
loop_
_space_group_symop_operation_xyz
'x,y,z'
'-x,-y,-z'
'-x+1/2,-y,z+1/2'
'x+1/2,y,-z+1/2'
'x+1/2,-y+1/2,-z+1/2'
'-x+1/2,y+1/2,z+1/2'
'-x,y+1/2,-z'
'x,-y+1/2,z'
loop_
_atom_site_label
_atom_site_type_symbol
_atom_site_fract_x
_atom_site_fract_y
_atom_site_fract_z
_atom_site_occupancy
Y1 Y 0.249 0.250 0.061 1
Cu1 Cu 0.058 0.750 0.102 1
Cu2 Cu 0.068 0.001 0.312 1
Cu3 Cu 0.084 0.250 0.517 1
Cu4 Cu 0.184 0.250 0.742 1
Sn1 Sn 0.139 0.750 0.860 1
```

## Properties
Its total magnetic moment is 0.0 μB per cell. The value obtained for the volume is 15.7 Å³/atom. As for the final energy: -4.682 eV/atom. The density of states at the Fermi level comes out at 0.2276 states/eV/atom.



Computed, not measured: a relaxed structure of TaCoGe at the PBE level of DFT.

CIF file:
```
data_TaCoGe
_chemical_formula_sum 'Ta4 Co4 Ge4'
_space_group_name_H-M_alt 'P n m a'
_space_group_IT_number 62
_cell_length_a 6.317
_cell_length_b 3.753
_cell_length_c 7.147
_cell_angle_alpha 90.00
_cell_angle_beta 90.00
_cell_angle_gamma 90.00
loop_
_space_group_symop_operation_xyz
'x,y,z'
'-x,-y,-z'
'-x+1/2,-y,z+1/2'
'x+1/2,y,-z+1/2'
'x+1/2,-y+1/2,-z+1/2'
'-x+1/2,y+1/2,z+1/2'
'-x,y+1/2,-z'
'x,-y+1/2,z'
loop_
_atom_site_label
_atom_site_type_symbol
_atom_site_fract_x
_atom_site_fract_y
_atom_site_fract_z
_atom_site_occupancy
Ta1 Ta 0.021 0.250 0.183 1
Co1 Co 0.140 0.250 0.563 1
Ge1 Ge 0.231 0.750 0.381 1
```

## Properties
Its total magnetic moment is 0.0 μB per cell. The value obtained for the volume is 14.1 Å³/atom. As for the final energy: -8.285 eV/atom. The density of states at the Fermi level comes out at 0.0709 states/eV/atom.



Computed, not measured: a relaxed structure of KNa2Li at the PBE level of DFT.

CIF file:
```
data_KNa2Li
_chemical_formula_sum 'K1 Na2 Li1'
_space_group_name_H-M_alt 'P 4/m m m'
_space_group_IT_number 123
_space_group_name_Hall '-P 4 2'
_cell_length_a 4.020
_cell_length_b 4.020
_cell_length_c 9.937
_cell_angle_alpha 90.00
_cell_angle_beta 90.00
_cell_angle_gamma 90.00
loop_
_atom_site_label
_atom_site_type_symbol
_atom_site_fract_x
_atom_site_fract_y
_atom_site_fract_z
_atom_site_occupancy
K1 K 0.000 0.000 0.000 1
Na1 Na 0.500 0.500 0.313 1
Li1 Li 0.000 0.000 0.500 1
```

## Properties
The energy above the lowest structure with this stoichiometry is 0.00 eV per formula unit. Its total magnetic moment is 0.0 μB per cell. The value obtained for the volume is 40.1 Å³/atom. As for the final energy: -1.350 eV/atom. The density of states at the Fermi level comes out at 0.5888 states/eV/atom.



Computed, not measured: a relaxed structure of Mn2GaN at the PBE level of DFT.

CIF file:
```
data_Mn2GaN
_chemical_formula_sum 'Mn8 Ga4 N4'
_space_group_name_H-M_alt 'C m c 21'
_space_group_IT_number 36
_cell_length_a 2.769
_cell_length_b 13.188
_cell_length_c 4.831
_cell_angle_alpha 90.00
_cell_angle_beta 90.00
_cell_angle_gamma 90.00
loop_
_space_group_symop_operation_xyz
'x,y,z'
'-x,-y,z+1/2'
'-x,y,z'
'x,-y,z+1/2'
'x+1/2,y+1/2,z'
'-x+1/2,-y+1/2,z+1/2'
'-x+1/2,y+1/2,z'
'x+1/2,-y+1/2,z+1/2'
loop_
_atom_site_label
_atom_site_type_symbol
_atom_site_fract_x
_atom_site_fract_y
_atom_site_fract_z
_atom_site_occupancy
Mn1 Mn 0.000 0.079 0.000 1
Mn2 Mn 0.000 0.251 0.727 1
Ga1 Ga 0.000 0.418 0.973 1
N1 N 0.000 0.325 0.402 1
```

## Properties
Its total magnetic moment is 7.3 μB per cell. Its energy relative to the elements, uncorrected is -0.172 eV/atom. The value obtained for the volume is 11.0 Å³/atom. As for the final energy: -7.595 eV/atom. The density of states at the Fermi level comes out at 0.8074 states/eV/atom.



Computed, not measured: a relaxed structure of BaAsI2O at the PBE level of DFT.

CIF file:
```
data_BaAsI2O
_chemical_formula_sum 'Ba1 As1 I2 O1'
_space_group_name_H-M_alt 'P 4/m m m'
_space_group_IT_number 123
_space_group_name_Hall '-P 4 2'
_cell_length_a 6.192
_cell_length_b 6.192
_cell_length_c 3.995
_cell_angle_alpha 90.00
_cell_angle_beta 90.00
_cell_angle_gamma 90.00
loop_
_atom_site_label
_atom_site_type_symbol
_atom_site_fract_x
_atom_site_fract_y
_atom_site_fract_z
_atom_site_occupancy
Ba1 Ba 0.000 0.000 0.000 1
As1 As 0.500 0.500 0.500 1
I1 I 0.000 0.500 0.500 1
O1 O 0.500 0.500 0.000 1
```

## Properties
The energy above the lowest structure with this stoichiometry is 0.00 eV per formula unit. Its total magnetic moment is 0.2 μB per cell. Its energy relative to the elements, uncorrected is -0.871 eV/atom. The value obtained for the volume is 30.6 Å³/atom. As for the final energy: -3.797 eV/atom. The density of states at the Fermi level comes out at 0.3453 states/eV/atom.



Computed, not measured: a relaxed structure of Ho2Er6Sc3In at the PBE level of DFT.

CIF file:
```
data_Ho2Er6Sc3In
_chemical_formula_sum 'Ho4 Er12 Sc6 In2'
_space_group_name_H-M_alt 'C 1 2/m 1'
_space_group_IT_number 12
_cell_length_a 5.930
_cell_length_b 10.271
_cell_length_c 11.285
_cell_angle_alpha 90.00
_cell_angle_beta 100.08
_cell_angle_gamma 90.00
loop_
_space_group_symop_operation_xyz
'x,y,z'
'-x,-y,-z'
'-x,y,-z'
'x,-y,z'
'x+1/2,y+1/2,z'
'-x+1/2,-y+1/2,-z'
'-x+1/2,y+1/2,-z'
'x+1/2,-y+1/2,z'
loop_
_atom_site_label
_atom_site_type_symbol
_atom_site_fract_x
_atom_site_fract_y
_atom_site_fract_z
_atom_site_occupancy
Ho1 Ho 0.000 0.166 0.000 1
Er1 Er 0.245 0.500 0.743 1
Er2 Er 0.249 0.166 0.744 1
Sc1 Sc 0.000 0.000 0.500 1
Sc2 Sc 0.000 0.334 0.500 1
In1 In 0.000 0.500 0.000 1
```

## Properties
Its total magnetic moment is 0.0 μB per cell. The value obtained for the volume is 28.2 Å³/atom. As for the final energy: -4.885 eV/atom. The density of states at the Fermi level comes out at 1.2759 states/eV/atom.



total magnetic moment of number 6 (PmZr2Ir)?
0.0 μB per cell



Which formula does entry 11 have?
BaAsI2O



What is the formula in the eighth record?
TaCoGe



The lowest final energy belongs to which entry?
TaCoGe